A relaxed IrRu3 crystal, computed with PBE.

The structure in extended XYZ format:
```
8
Lattice="-1.9089 -1.6843 -4.8406 0.0344 -4.0946 1.4112 -4.4359 0.5050 1.5736" Properties=species:S:1:pos:R:3 pbc="T T T"
Ir -2.9557 0.3365 1.0485
Ir -2.4174 -2.7210 -1.1896
Ru -1.4583 -1.8793 1.2290
Ru -1.2127 -0.3364 -0.9465
Ru -4.1604 -2.0481 0.8054
Ru -3.9148 -0.5051 -1.3701
Ru -2.1690 -1.1802 -3.3716
Ru -5.1130 -2.8885 -1.6101
```

Formation energy from the elements = -0.056 eV/atom
SG = Pmmn
E = -36.91 eV per formula unit

=====

A relaxed BaP2C crystal, computed with PBE.

The structure in extended XYZ format:
```
8
Lattice="6.5689 0.0000 0.0000 0.0000 6.5689 0.0000 3.2845 3.2845 3.7007" Properties=species:S:1:pos:R:3 pbc="T T T"
P 3.9717 1.6422 0.9252
P 2.5972 4.9267 0.9252
P 4.9267 5.8817 2.7756
P 8.2111 7.2561 2.7756
C 3.2845 3.2845 0.0000
C 3.2845 6.5689 1.8504
Ba 0.0000 0.0000 0.0000
Ba 6.5689 3.2845 1.8504
```

Formation energy from the elements = 0.138 eV/atom
SG = I-42d
E = -21.41 eV per formula unit

=====

Among the records above, which one has the lowest E? IrRu3

=====

Please write out number 1 again, unchanged.
A relaxed IrRu3 crystal, computed with PBE.

The structure in extended XYZ format:
```
8
Lattice="-1.9089 -1.6843 -4.8406 0.0344 -4.0946 1.4112 -4.4359 0.5050 1.5736" Properties=species:S:1:pos:R:3 pbc="T T T"
Ir -2.9557 0.3365 1.0485
Ir -2.4174 -2.7210 -1.1896
Ru -1.4583 -1.8793 1.2290
Ru -1.2127 -0.3364 -0.9465
Ru -4.1604 -2.0481 0.8054
Ru -3.9148 -0.5051 -1.3701
Ru -2.1690 -1.1802 -3.3716
Ru -5.1130 -2.8885 -1.6101
```

Formation energy from the elements = -0.056 eV/atom
SG = Pmmn
E = -36.91 eV per formula unit